# 1
3
Lattice="4.6121 0.0000 0.0000 -2.3061 3.9942 0.0000 0.0000 0.0000 2.5363" Properties=species:S:1:pos:R:3 comment="NbVZn, relaxed, DFT PBE-GGA" relative_energy_mev_per_atom=80 mass_density_g_cm3=7.44 energy_ev_per_atom=-6.71 pbc="T T T"
Nb 0.0000 0.0000 0.0000
V 0.0000 2.6628 1.6068
Zn 2.3061 1.3314 0.9501

***

# 2
5
Lattice="4.7130 0.0000 0.0000 0.0000 4.7130 0.0000 0.0000 0.0000 4.7130" Properties=species:S:1:pos:R:3 comment="Nb3VZn, relaxed, DFT PBE-GGA" relative_energy_mev_per_atom=432 mass_density_g_cm3=6.27 energy_ev_per_atom=-6.73 pbc="T T T"
Nb 0.0000 0.0000 2.3565
Nb 0.0000 2.3565 0.0000
Nb 2.3565 0.0000 0.0000
V 2.3565 2.3565 2.3565
Zn 0.0000 0.0000 0.0000

***

# 3
4
Lattice="3.2116 0.0000 0.0000 0.0000 3.2116 0.0000 0.0000 0.0000 5.8134" Properties=species:S:1:pos:R:3 comment="NbV2Zn, relaxed, DFT PBE-GGA" mass_density_g_cm3=7.21 energy_ev_per_atom=-7.35 pbc="T T T"
Nb 0.0000 0.0000 0.0000
V 1.6058 1.6058 1.4653
V 1.6058 1.6058 4.3481
Zn 0.0000 0.0000 2.9067

***

# 4
8
Lattice="-3.5575 3.5575 2.5400 3.5575 -3.5575 2.5400 3.5575 3.5575 -2.5400" Properties=species:S:1:pos:R:3 comment="NbVZn2, relaxed, DFT PBE-GGA" relative_energy_mev_per_atom=423 mass_density_g_cm3=7.09 energy_ev_per_atom=-5.04 pbc="T T T"
Nb 0.0000 0.0000 0.0000
Nb 0.0000 3.5575 1.2700
V 3.5575 0.0000 1.2700
V 0.0000 0.0000 2.5400
Zn 1.7787 -1.6690 1.9050
Zn 1.8885 1.7787 0.6350
Zn 1.7787 5.2265 -0.6350
Zn 1.6690 1.7787 3.1750

***

# 5
6
Lattice="2.1151 -2.1152 0.0000 2.1151 2.1152 0.0000 -0.0172 0.0000 10.4592" Properties=species:S:1:pos:R:3 comment="NbVZn, relaxed, DFT PBE-GGA" relative_energy_mev_per_atom=0 mass_density_g_cm3=7.43 energy_ev_per_atom=-6.79 pbc="T T T"
Nb 1.0490 0.0000 2.4865
Nb 3.1640 0.0000 7.9727
V 1.0427 0.0000 9.8033
V 3.1702 0.0000 0.6560
Zn 1.0489 0.0000 6.0201
Zn 3.1641 0.0000 4.4391

***

# 6
4
Lattice="0.0000 3.2603 3.2603 3.2603 0.0000 3.2603 3.2603 3.2603 0.0000" Properties=species:S:1:pos:R:3 comment="ZrNbVZn, relaxed, DFT PBE-GGA" mass_density_g_cm3=7.20 energy_ev_per_atom=-7.19 pbc="T T T"
Zr 0.0000 0.0000 0.0000
Nb 3.2603 3.2603 3.2603
V 4.8905 4.8905 4.8905
Zn 1.6302 1.6302 1.6302

***

# 7
8
Lattice="-3.7205 3.7205 2.8842 3.7205 -3.7205 2.8842 3.7205 3.7205 -2.8842" Properties=species:S:1:pos:R:3 comment="Zr2NbV, relaxed, DFT PBE-GGA" relative_energy_mev_per_atom=437 mass_density_g_cm3=6.79 energy_ev_per_atom=-8.49 pbc="T T T"
Zr 5.5807 1.7576 -0.7211
Zr 1.7576 1.8602 0.7211
Zr -1.8602 1.9629 2.1632
Zr 1.9629 1.8602 3.6053
Nb 3.7205 0.0000 1.4421
Nb 0.0000 0.0000 2.8842
V 0.0000 0.0000 0.0000
V 0.0000 3.7205 1.4421

***

# 8
4
Lattice="3.2306 0.0000 0.0000 0.0000 3.2306 0.0000 0.0000 0.0000 6.5901" Properties=species:S:1:pos:R:3 comment="ZrNbV2, relaxed, DFT PBE-GGA" relative_energy_mev_per_atom=0 mass_density_g_cm3=6.91 energy_ev_per_atom=-9.10 pbc="T T T"
Zr 0.0000 0.0000 0.0000
Nb 0.0000 0.0000 3.2951
V 1.6153 1.6153 1.8409
V 1.6153 1.6153 4.7492

***

# 9
4
Lattice="4.5885 0.0000 0.0000 0.0000 4.5885 0.0000 0.0000 0.0000 3.2461" Properties=species:S:1:pos:R:3 comment="ZrNbV2, relaxed, DFT PBE-GGA" relative_energy_mev_per_atom=46 mass_density_g_cm3=6.95 energy_ev_per_atom=-9.06 pbc="T T T"
Zr 0.0000 0.0000 0.0000
Nb 2.2942 2.2942 0.0000
V 0.0000 2.2942 1.6231
V 2.2942 0.0000 1.6231

***

# 10
4
Lattice="0.0000 3.4068 3.4068 3.4068 0.0000 3.4068 3.4068 3.4068 0.0000" Properties=species:S:1:pos:R:3 comment="Zr2NbV, relaxed, DFT PBE-GGA" relative_energy_mev_per_atom=0 mass_density_g_cm3=6.85 energy_ev_per_atom=-8.92 pbc="T T T"
Zr 1.7034 1.7034 1.7034
Zr 5.1101 5.1101 5.1101
Nb 0.0000 0.0000 0.0000
V 3.4068 3.4068 3.4068

***

# 11
12
Lattice="2.6096 1.5067 7.8895 -2.6096 1.5067 7.8895 0.0000 -3.0134 7.8895" Properties=species:S:1:pos:R:3 comment="ZrNb2V9, relaxed, DFT PBE-GGA" mass_density_g_cm3=6.56 energy_ev_per_atom=-9.16 pbc="T T T"
Zr 0.0000 0.0000 0.0000
Nb 0.0000 0.0000 3.4378
Nb 0.0000 0.0000 20.2307
V -1.3165 -0.7601 9.8627
V 0.0000 0.0000 7.8812
V 0.0000 -1.5202 13.8058
V -1.3165 0.7601 13.8058
V 0.0000 0.0000 11.8342
V 1.3165 -0.7601 9.8627
V 0.0000 1.5202 9.8627
V 0.0000 0.0000 15.7873
V 1.3165 0.7601 13.8058

***

# 12
5
Lattice="4.9066 0.0000 0.0000 0.0000 4.9066 0.0000 0.0000 0.0000 4.9066" Properties=species:S:1:pos:R:3 comment="ZrNb3V, relaxed, DFT PBE-GGA" relative_energy_mev_per_atom=1084 mass_density_g_cm3=5.92 energy_ev_per_atom=-7.75 pbc="T T T"
Zr 0.0000 0.0000 0.0000
Nb 0.0000 0.0000 2.4533
Nb 0.0000 2.4533 0.0000
Nb 2.4533 0.0000 0.0000
V 2.4533 2.4533 2.4533

***

# 13
8
Lattice="-3.5387 3.5387 2.8280 3.5387 -3.5387 2.8280 3.5387 3.5387 -2.8280" Properties=species:S:1:pos:R:3 comment="ZrNbV2, relaxed, DFT PBE-GGA" relative_energy_mev_per_atom=476 mass_density_g_cm3=6.71 energy_ev_per_atom=-8.63 pbc="T T T"
Zr 0.0000 0.0000 0.0000
Zr 0.0000 3.5387 1.4140
Nb 3.5387 0.0000 1.4140
Nb 0.0000 0.0000 2.8280
V 1.7694 1.8667 -0.7070
V 5.2107 1.7694 0.7070
V 1.7694 1.6720 2.1210
V -1.6720 1.7694 3.5350

***

# 14
5
Lattice="4.6928 0.0000 0.0000 0.0000 4.6928 0.0000 0.0000 0.0000 4.6928" Properties=species:S:1:pos:R:3 comment="ZrNb3V, relaxed, DFT PBE-GGA" relative_energy_mev_per_atom=0 mass_density_g_cm3=6.76 energy_ev_per_atom=-8.84 pbc="T T T"
Zr 0.0000 0.0000 0.0000
Nb 0.0000 2.3464 2.3464
Nb 2.3464 0.0000 2.3464
Nb 2.3464 2.3464 0.0000
V 2.3464 2.3464 2.3464

***

# 15
12
Lattice="5.1197 0.0000 0.0000 -2.5598 4.4338 0.0000 0.0000 0.0000 8.2393" Properties=species:S:1:pos:R:3 comment="ZrNb3V8, relaxed, DFT PBE-GGA" mass_density_g_cm3=6.90 energy_ev_per_atom=-9.35 pbc="T T T"
Zr 0.0000 0.0000 0.0000
Nb 0.0000 0.0000 3.1215
Nb 2.5598 1.4779 4.1204
Nb 2.5598 1.4779 7.1786
V 0.0000 1.4573 5.6281
V -1.2977 3.7051 5.6281
V 0.0000 2.9558 3.6090
V 0.0000 2.9558 7.7183
V 2.5598 0.0268 1.5793
V 1.3031 2.2035 1.5793
V 1.2977 3.7051 5.6281
V 3.8166 2.2035 1.5793

***

# 16
10
Lattice="6.9779 0.0000 0.0000 0.0000 6.9779 0.0000 0.0000 0.0000 3.8666" Properties=species:S:1:pos:R:3 comment="Zr2NbV2, relaxed, DFT PBE-GGA" relative_energy_mev_per_atom=0 mass_density_g_cm3=6.65 energy_ev_per_atom=-8.82 pbc="T T T"
Zr 1.1892 2.2998 0.0000
Zr 2.2998 5.7887 0.0000
Zr 4.6781 1.1892 0.0000
Zr 5.7887 4.6781 0.0000
Nb 0.0000 0.0000 1.9333
Nb 3.4889 3.4889 1.9333
V 0.9158 4.4048 1.9333
V 2.5731 0.9158 1.9333
V 4.4048 6.0621 1.9333
V 6.0621 2.5731 1.9333

***

# 17
4
Lattice="1.4546 0.8398 10.9213 -1.4546 0.8398 10.9213 0.0000 -1.6797 10.9213" Properties=species:S:1:pos:R:3 comment="Zr2NbV, relaxed, DFT PBE-GGA" relative_energy_mev_per_atom=365 mass_density_g_cm3=6.77 energy_ev_per_atom=-8.56 pbc="T T T"
Zr 0.0000 0.0000 2.7219
Zr 0.0000 0.0000 30.0420
Nb 0.0000 0.0000 16.3820
V 0.0000 0.0000 0.0000

***

# 18
4
Lattice="0.0000 3.2485 3.2485 3.2485 0.0000 3.2485 3.2485 3.2485 0.0000" Properties=species:S:1:pos:R:3 comment="ZrNbV2, relaxed, DFT PBE-GGA" relative_energy_mev_per_atom=33 mass_density_g_cm3=6.93 energy_ev_per_atom=-9.07 pbc="T T T"
Zr 0.0000 0.0000 0.0000
Nb 3.2485 3.2485 3.2485
V 1.6242 1.6242 1.6242
V 4.8727 4.8727 4.8727

***

# 19
5
Lattice="-1.9883 1.9883 6.0675 1.9883 -1.9883 6.0675 1.9883 1.9883 -6.0675" Properties=species:S:1:pos:R:3 comment="Zr2NbV2, relaxed, DFT PBE-GGA" relative_energy_mev_per_atom=296 mass_density_g_cm3=6.53 energy_ev_per_atom=-8.53 pbc="T T T"
Zr 1.9883 0.0000 3.0338
Zr 0.0000 1.9883 3.0338
Nb 0.0000 0.0000 0.0000
V 0.0000 0.0000 5.1033
V 0.0000 0.0000 7.0318

***

# 20
4
Lattice="4.7907 0.0000 0.0000 0.0000 4.7907 0.0000 0.0000 0.0000 3.4400" Properties=species:S:1:pos:R:3 comment="Zr2NbV, relaxed, DFT PBE-GGA" relative_energy_mev_per_atom=14 mass_density_g_cm3=6.86 energy_ev_per_atom=-8.91 pbc="T T T"
Zr 0.0000 2.3954 0.0000
Zr 2.3954 0.0000 0.0000
Nb 0.0000 0.0000 1.7200
V 2.3954 2.3954 1.7200